Here is an optimized crystal structure of TbGd2Re from Alexandria. Energies are from PBE-GGA.

abc: 5.3987 5.3987 11.7637
angles: 90.00 90.00 120.00
Atoms (fractional coordinates):
Tb1 0.0000 0.0000 0.0000
Tb2 0.3333 0.6667 0.6667
Tb3 0.6667 0.3333 0.3333
Gd1 0.0000 0.0000 0.2623
Gd2 0.0000 0.0000 0.7377
Gd3 0.3333 0.6667 0.4043
Gd4 0.3333 0.6667 0.9290
Gd5 0.6667 0.3333 0.0710
Gd6 0.6667 0.3333 0.5957
Re1 0.0000 0.0000 0.5000
Re2 0.3333 0.6667 0.1667
Re3 0.6667 0.3333 0.8333

Calculated values
ΔE_f, meV per atom: 327
Space group: R-3m (166)
VASP energy, eV per atom: -10.98
Calculated density, g cm⁻³: 11.1